# ScAl2Fe2

ScAl2Fe2 after structural relaxation (PBE, Alexandria via LeMat-Bulk).

It has space group I4/mmm (No. 139), with a = 4.145 Å, b = 4.145 Å, c = 18.733 Å, α = 90.00°, β = 90.00° and γ = 90.00°. The inequivalent atoms are Sc at (0.000, 0.000, 0.143), Al at (0.000, 0.000, 0.309), Al at (0.000, 0.500, 0.000), Fe at (0.000, 0.000, 0.436) and Fe at (0.000, 0.500, 0.250).

The excess energy over the best structure of this formula in the dataset comes out at 0.149 eV per atom. For the formation enthalpy at 0 K, the calculation gives -0.0871 eV/atom.

=====

# CeNbN3

CeNbN3 after structural relaxation (PBE, Alexandria via LeMat-Bulk).

It has space group Pnma (No. 62), with a = 7.185 Å, b = 3.247 Å, c = 11.083 Å, α = 90.00°, β = 90.00° and γ = 90.00°. The inequivalent atoms are Ce at (0.057, 0.250, 0.172), Nb at (0.167, 0.750, 0.441), N at (0.008, 0.250, 0.392), N at (0.165, 0.750, 0.029) and N at (0.188, 0.250, 0.791).

The calculation puts the formation energy without anion corrections at -1.03 eV per atom.

=====

# SmDy2Y4Ho2

SmDy2Y4Ho2 after structural relaxation (PBE, Alexandria via LeMat-Bulk).

It has space group C2/m (No. 12), with a = 18.658 Å, b = 3.593 Å, c = 9.545 Å, α = 90.00°, β = 115.75° and γ = 90.00°. The inequivalent atoms are Sm at (0.000, 0.000, 0.000), Dy at (0.148, 0.000, 0.667), Y at (0.019, 0.500, 0.335), Y at (0.186, 0.000, 0.334) and Ho at (0.168, 0.500, 0.999).

For the formation enthalpy at 0 K, the calculation gives -0.0002 eV/atom.

=====

# PmAg2Pb2

PmAg2Pb2 after structural relaxation (PBE, Alexandria via LeMat-Bulk).

It has space group I4/mmm (No. 139), with a = 3.937 Å, b = 3.937 Å, c = 17.222 Å, α = 90.00°, β = 90.00° and γ = 90.00°. The inequivalent atoms are Pm at (0.000, 0.000, 0.000), Ag at (0.000, 0.500, 0.250) and Pb at (0.000, 0.000, 0.385).

For the formation enthalpy at 0 K, the calculation gives -0.0448 eV/atom.

=====

# Pr2TaN

Pr2TaN after structural relaxation (PBE, Alexandria via LeMat-Bulk).

It has space group R-3m (No. 166, hexagonal axes), with a = 3.3865 Å, b = 3.3865 Å, c = 27.7302 Å, α = 90.00°, β = 90.00° and γ = 120.00°. The inequivalent atoms are Pr at (0.0000, 0.0000, 0.1126), Ta at (0.0000, 0.0000, 0.0000) and N at (0.0000, 0.0000, 0.5000).

The calculation puts the formation energy without anion corrections at 0.08 eV per atom.

=====

# Cu2IrPt

Cu2IrPt after structural relaxation (PBE, Alexandria via LeMat-Bulk).

It has space group I4/mmm (No. 139), with a = 3.871 Å, b = 3.871 Å, c = 7.304 Å, α = 90.00°, β = 90.00° and γ = 90.00°. The inequivalent atoms are Cu at (0.000, 0.500, 0.250), Ir at (0.000, 0.000, 0.000) and Pt at (0.000, 0.000, 0.500).

The excess energy over the best structure of this formula in the dataset comes out at 0.152 eV per atom. For the formation enthalpy at 0 K, the calculation gives 0.1106 eV/atom.